Record 1
PBE Pr2DyYTh, optimized geometry; raw total energy = -5.364 eV/atom; ΔH_f (0 K) = 0.245 eV per atom; calculated density = 7.2 Mg/m³; D(E_F) = 17.40 states/eV per cell; total moment = 0.00 μB per atom; SG = P2/c
1.0
6.361 0.000 0.000
0.000 8.575 0.000
-1.515 0.000 6.437
Pr Dy Y Th
4 2 2 2
Direct
0.217 0.176 0.159 Pr
0.217 0.824 0.659 Pr
0.783 0.176 0.341 Pr
0.783 0.824 0.841 Pr
0.000 0.414 0.750 Dy
0.000 0.586 0.250 Dy
0.500 0.164 0.750 Y
0.500 0.836 0.250 Y
0.500 0.500 0.000 Th
0.500 0.500 0.500 Th

Record 2
PBE Pr2DyY5Th, optimized geometry; raw total energy = -5.705 eV/atom; ΔH_f (0 K) = 0.284 eV per atom; calculated density = 6.2 Mg/m³; D(E_F) = 22.19 states/eV per cell; total moment = 0.00 μB per atom; SG = I4/mcm
1.0
-4.378 4.378 7.797
4.378 -4.378 7.797
4.378 4.378 -7.797
Pr Dy Y Th
4 2 10 2
Direct
0.117 0.617 0.734 Pr
0.383 0.117 0.500 Pr
0.617 0.883 0.500 Pr
0.883 0.383 0.266 Pr
0.250 0.750 0.500 Dy
0.750 0.250 0.500 Dy
0.000 0.000 0.000 Y
0.073 0.147 0.500 Y
0.147 0.647 0.074 Y
0.353 0.427 0.500 Y
0.427 0.927 0.074 Y
0.500 0.500 0.000 Y
0.573 0.073 0.926 Y
0.647 0.573 0.500 Y
0.853 0.353 0.926 Y
0.927 0.853 0.500 Y
0.250 0.250 0.000 Th
0.750 0.750 0.000 Th

Record 3
PBE PrDyY3Th, optimized geometry; raw total energy = -6.004 eV/atom; ΔH_f (0 K) = 0.029 eV per atom; calculated density = 6.8 Mg/m³; D(E_F) = 18.85 states/eV per cell; total moment = 0.00 μB per atom; SG = P2_1/m
1.0
8.033 0.000 0.000
0.000 5.098 0.000
-3.289 0.000 9.636
Pr Dy Y Th
2 2 6 2
Direct
0.171 0.250 0.293 Pr
0.829 0.750 0.707 Pr
0.499 0.250 0.628 Dy
0.501 0.750 0.372 Dy
0.171 0.750 0.544 Y
0.176 0.750 0.043 Y
0.177 0.250 0.794 Y
0.823 0.750 0.206 Y
0.824 0.250 0.957 Y
0.829 0.250 0.456 Y
0.499 0.750 0.879 Th
0.501 0.250 0.121 Th

Record 4
PBE PrDy2YTh, optimized geometry; raw total energy = -5.251 eV/atom; ΔH_f (0 K) = 0.323 eV per atom; calculated density = 7.5 Mg/m³; D(E_F) = 14.38 states/eV per cell; total moment = 0.00 μB per atom; SG = P2/c
1.0
8.579 0.000 0.000
0.000 6.471 0.000
-1.072 0.000 6.275
Pr Dy Y Th
2 4 2 2
Direct
0.000 0.000 0.000 Pr
0.000 0.000 0.500 Pr
0.315 0.317 0.198 Dy
0.315 0.683 0.698 Dy
0.685 0.317 0.302 Dy
0.685 0.683 0.802 Dy
0.500 0.173 0.750 Y
0.500 0.827 0.250 Y
0.000 0.451 0.750 Th
0.000 0.549 0.250 Th

Record 5
PBE Pr3DyY6Th2, optimized geometry; raw total energy = -6.029 eV/atom; ΔH_f (0 K) = 0.018 eV per atom; calculated density = 6.6 Mg/m³; D(E_F) = 16.26 states/eV per cell; total moment = 0.00 μB per atom; SG = C2/m
1.0
3.127 -5.413 0.000
3.127 5.413 0.000
-2.086 0.000 11.693
Pr Dy Y Th
3 1 6 2
Direct
0.000 0.000 0.000 Pr
0.334 0.666 0.000 Pr
0.666 0.334 0.000 Pr
0.500 0.500 0.500 Dy
0.081 0.419 0.256 Y
0.244 0.244 0.744 Y
0.419 0.081 0.256 Y
0.581 0.919 0.744 Y
0.756 0.756 0.256 Y
0.919 0.581 0.744 Y
0.167 0.833 0.500 Th
0.833 0.167 0.500 Th

Record 6
PBE Pr6Dy2Y3Th, optimized geometry; raw total energy = -5.360 eV/atom; ΔH_f (0 K) = 0.031 eV per atom; calculated density = 6.8 Mg/m³; D(E_F) = 16.27 states/eV per cell; total moment = 0.00 μB per atom; SG = C2/m
1.0
3.158 -5.468 0.000
3.158 5.468 0.000
-2.108 0.000 11.824
Pr Dy Y Th
6 2 3 1
Direct
0.083 0.413 0.749 Pr
0.247 0.247 0.252 Pr
0.413 0.083 0.749 Pr
0.587 0.917 0.251 Pr
0.753 0.753 0.748 Pr
0.917 0.587 0.251 Pr
0.333 0.667 0.500 Dy
0.667 0.333 0.500 Dy
0.167 0.833 0.000 Y
0.500 0.500 0.000 Y
0.833 0.167 0.000 Y
0.000 0.000 0.500 Th

- What is the ΔH_f (0 K) in the first record?
  0.245 eV per atom

- Which formula does entry 1 have?
  Pr2DyYTh